No. 1
Compound: Pa2TcAg
Source: Alexandria
Functional: PBE
Structure: relaxed

Output
Space-group type: Fm-3m (225)
E_form in meV per atom: 133
Energy relative to the lowest polymorph listed for this composition in eV per formula unit: 0.65
Mass density in g cm⁻³: 12.78

Unit cell a=7.028 b=7.028 c=7.028 alpha=90.00 beta=90.00 gamma=90.00
Positions (direct):
Pa: 0.250 0.250 0.250
Pa: 0.250 0.250 0.750
Pa: 0.250 0.750 0.250
Pa: 0.250 0.750 0.750
Pa: 0.750 0.250 0.250
Pa: 0.750 0.250 0.750
Pa: 0.750 0.750 0.250
Pa: 0.750 0.750 0.750
Tc: 0.000 0.000 0.000
Tc: 0.000 0.500 0.500
Tc: 0.500 0.000 0.500
Tc: 0.500 0.500 0.000
Ag: 0.000 0.000 0.500
Ag: 0.000 0.500 0.000
Ag: 0.500 0.000 0.000
Ag: 0.500 0.500 0.500

---

No. 2
Compound: Pa2TcAg
Source: Alexandria
Functional: PBE
Structure: relaxed

Output
Space-group type: P4/mmm (123)
E_form in meV per atom: -30
Energy relative to the lowest polymorph listed for this composition in eV per formula unit: 0.00
Mass density in g cm⁻³: 12.78

Unit cell a=3.182 b=3.182 c=8.574 alpha=90.00 beta=90.00 gamma=90.00
Positions (direct):
Pa: 0.000 0.000 0.217
Pa: 0.000 0.000 0.783
Tc: 0.500 0.500 0.000
Ag: 0.500 0.500 0.500

---

No. 3
Compound: Pa2TcAg
Source: Alexandria
Functional: PBE
Structure: relaxed

Output
Space-group type: R-3m (166)
E_form in meV per atom: 154
Energy relative to the lowest polymorph listed for this composition in eV per formula unit: 0.74
Mass density in g cm⁻³: 11.28

Unit cell a=3.908 b=3.908 c=22.306 alpha=90.00 beta=90.00 gamma=120.00
Positions (direct):
Pa: 0.000 0.000 0.236
Pa: 0.000 0.000 0.764
Pa: 0.333 0.667 0.431
Pa: 0.333 0.667 0.903
Pa: 0.667 0.333 0.097
Pa: 0.667 0.333 0.569
Tc: 0.000 0.000 0.500
Tc: 0.333 0.667 0.167
Tc: 0.667 0.333 0.833
Ag: 0.000 0.000 0.000
Ag: 0.333 0.667 0.667
Ag: 0.667 0.333 0.333